Record 1
This record from Alexandria describes Ac6TeO12 after structural relaxation. The functional is PBE.

abc: 10.7467 10.7467 10.2733
angles: 90.00 90.00 120.00
Space group R-3 (No. 148, hexagonal axes)
Unique sites:
Ac: 0.0472 0.7942 0.1510 [18 per cell]
Te: 0.0000 0.0000 0.5000 [3 per cell]
O: 0.0384 0.8097 0.9061 [18 per cell]
O: 0.0398 0.8674 0.3946 [18 per cell]

For the total energy, the calculation gives -7.5553 eV/atom. Its uncorrected formation energy is -2.96 eV per atom.

***

Record 2
This record from Alexandria describes NbPICl2 after structural relaxation. The functional is PBE.

abc: 5.2689 5.2689 5.4271
angles: 90.00 90.00 90.00
Space group P4/mmm (No. 123)
Unique sites:
Nb: 0.0000 0.0000 0.0000 [1 per cell]
P: 0.5000 0.5000 0.0000 [1 per cell]
I: 0.5000 0.5000 0.5000 [1 per cell]
Cl: 0.0000 0.5000 0.5000 [2 per cell]

For the total energy, the calculation gives -2.8777 eV/atom. The energy above the most stable polymorph in this dataset comes out at 1.492 eV/atom. Its uncorrected formation energy is 1.27 eV per atom.